YPd4Au5 | PBE | optimized geometry

abc: 4.689 5.755 7.166
angles: 102.14 109.10 90.00
Atoms (fractional coordinates):
Y: 0.500 0.000 0.000
Pd: 0.708 0.331 0.416
Pd: 0.103 0.840 0.207
Pd: 0.292 0.669 0.584
Pd: 0.897 0.160 0.793
Au: 0.290 0.171 0.580
Au: 0.099 0.347 0.198
Au: 0.901 0.653 0.802
Au: 0.500 0.500 0.000
Au: 0.710 0.829 0.420

- distance to the lowest polymorph of the same formula (meV per atom) = 0.0
- M_tot (Bohr magnetons per cell) = 0.0
- DFT formation energy (eV/atom) = -0.35


ScB2IrW | PBE | optimized geometry

abc: 4.126 4.713 4.126
angles: 90.00 90.00 90.00
Last column: magnetic moment on the atom in μB.
Atoms (fractional coordinates):
Sc: 0.000 0.000 0.000  0.04
B: 0.000 0.000 0.500  0.01
B: 0.500 0.000 0.000  0.01
Ir: 0.500 0.500 0.500  0.39
W: 0.000 0.500 0.000  0.09

- M_tot (Bohr magnetons per cell) = 0.5
- DFT formation energy (eV/atom) = 2.48


BePb2I | PBE | optimized geometry

abc: 5.460 5.460 5.460
angles: 60.00 60.00 60.00
Atoms (fractional coordinates):
Pb: 0.250 0.250 0.250
Pb: 0.750 0.750 0.750
I: 0.500 0.500 0.500
Be: 0.000 0.000 0.000

- distance to the lowest polymorph of the same formula (meV per atom) = 304.9
- M_tot (Bohr magnetons per cell) = 0.0
- energy relative to the elements, uncorrected (eV/atom) = 0.64


AcGaHgO4 | PBE | optimized geometry

abc: 5.909 5.909 7.279
angles: 90.00 90.00 114.15
Atoms (fractional coordinates):
Ac: 0.500 0.500 0.500
Ac: 0.500 0.500 0.000
Ga: 0.137 0.863 0.250
Ga: 0.863 0.137 0.750
Hg: 0.815 0.185 0.250
Hg: 0.185 0.815 0.750
O: 0.211 0.256 0.750
O: 0.744 0.789 0.750
O: 0.752 0.248 0.960
O: 0.752 0.248 0.540
O: 0.248 0.752 0.040
O: 0.248 0.752 0.460
O: 0.789 0.744 0.250
O: 0.256 0.211 0.250

- M_tot (Bohr magnetons per cell) = 0.0
- energy relative to the elements, uncorrected (eV/atom) = -1.91


LaScAl2Co | PBE | optimized geometry

abc: 4.665 4.665 4.773
angles: 90.00 90.00 90.00
Atoms (fractional coordinates):
Sc: 0.000 0.000 0.500
Co: 0.000 0.000 0.000
Al: 0.000 0.500 0.000
Al: 0.500 0.000 0.000
La: 0.500 0.500 0.500

- M_tot (Bohr magnetons per cell) = 0.0
- DFT formation energy (eV/atom) = -0.34


TiP2Ru2 | PBE | optimized geometry

abc: 6.932 6.932 2.819
angles: 90.00 90.00 90.00
Atoms (fractional coordinates):
Ru: 0.145 0.645 0.500
Ru: 0.645 0.855 0.500
Ru: 0.855 0.355 0.500
Ru: 0.355 0.145 0.500
P: 0.343 0.843 0.000
P: 0.843 0.657 0.000
P: 0.657 0.157 0.000
P: 0.157 0.343 0.000
Ti: 0.000 0.000 0.000
Ti: 0.500 0.500 0.000

- M_tot (Bohr magnetons per cell) = 0.0
- DFT formation energy (eV/atom) = -0.47


Ba2ScAs | PBE | optimized geometry

abc: 5.223 5.223 4.846
angles: 90.01 90.01 90.24
Last column: magnetic moment on the atom in μB.
Atoms (fractional coordinates):
As: 0.000 0.500 0.500  -0.03
Ba: 0.000 0.000 0.000  0.12
Ba: 0.500 0.500 0.000  0.12
Sc: 0.500 0.000 0.500  0.70

- M_tot (Bohr magnetons per cell) = 1.6
- DFT formation energy (eV/atom) = -0.16


Sr3As2H | PBE | optimized geometry

abc: 3.956 5.024 9.194
angles: 105.86 102.42 90.00
Atoms (fractional coordinates):
Sr: 0.000 0.500 0.000
Sr: 0.833 0.833 0.667
Sr: 0.167 0.167 0.333
As: 0.648 0.648 0.296
As: 0.352 0.352 0.704
H: 0.000 0.000 0.000

- distance to the lowest polymorph of the same formula (meV per atom) = 0.0
- M_tot (Bohr magnetons per cell) = 0.0


Th2CoBi | PBE | optimized geometry

abc: 4.128 4.128 7.980
angles: 90.06 104.92 120.01
Atoms (fractional coordinates):
Th: 0.536 0.268 0.804
Th: 0.464 0.732 0.196
Co: 0.000 0.000 0.000
Bi: 0.000 0.500 0.500

- distance to the lowest polymorph of the same formula (meV per atom) = 0.0
- M_tot (Bohr magnetons per cell) = 0.0
- DFT formation energy (eV/atom) = -0.39


ErZrPdPt | PBE | optimized geometry

abc: 4.818 4.818 4.818
angles: 60.00 60.00 60.00
Atoms (fractional coordinates):
Zr: 0.500 0.500 0.500
Pd: 0.250 0.250 0.250
Pt: 0.750 0.750 0.750
Er: 0.000 0.000 0.000

- distance to the lowest polymorph of the same formula (meV per atom) = 69.2
- M_tot (Bohr magnetons per cell) = 0.0
- DFT formation energy (eV/atom) = -0.91


Cs2LiAu | PBE | optimized geometry

abc: 6.426 6.426 6.426
angles: 60.00 60.00 60.00
Atoms (fractional coordinates):
Cs: 0.250 0.250 0.250
Cs: 0.750 0.750 0.750
Au: 0.500 0.500 0.500
Li: 0.000 0.000 0.000

- distance to the lowest polymorph of the same formula (meV per atom) = 135.7
- M_tot (Bohr magnetons per cell) = 0.0
- DFT formation energy (eV/atom) = 0.01


Y2AsS2 | PBE | optimized geometry

abc: 7.781 7.781 3.578
angles: 90.00 90.00 90.00
Atoms (fractional coordinates):
Y: 0.336 0.836 0.000
Y: 0.836 0.664 0.000
Y: 0.664 0.164 0.000
Y: 0.164 0.336 0.000
As: 0.000 0.000 0.000
As: 0.500 0.500 0.000
S: 0.135 0.635 0.500
S: 0.635 0.865 0.500
S: 0.865 0.365 0.500
S: 0.365 0.135 0.500

- M_tot (Bohr magnetons per cell) = 0.0
- energy relative to the elements, uncorrected (eV/atom) = -1.51


HgMoW2 | PBE | optimized geometry

abc: 2.794 2.794 9.328
angles: 90.00 90.00 108.87
Atoms (fractional coordinates):
Hg: 0.000 0.000 0.501
Mo: 0.500 0.500 0.767
W: 0.000 0.000 0.999
W: 0.500 0.500 0.233

- M_tot (Bohr magnetons per cell) = 0.0
- DFT formation energy (eV/atom) = 0.37


Pr3Ni4As4 | PBE | optimized geometry

abc: 4.138 4.125 12.424
angles: 80.41 80.40 90.02
Atoms (fractional coordinates):
Pr: 0.152 0.652 0.696
Pr: 0.848 0.348 0.304
Pr: 0.000 0.000 0.000
Ni: 0.598 0.098 0.806
Ni: 0.250 0.250 0.501
Ni: 0.750 0.750 0.499
Ni: 0.402 0.902 0.194
As: 0.555 0.555 0.890
As: 0.445 0.445 0.110
As: 0.304 0.804 0.392
As: 0.696 0.196 0.608

- M_tot (Bohr magnetons per cell) = 0.0
- DFT formation energy (eV/atom) = -0.93


Ac2In2Pb3 | PBE | optimized geometry

abc: 5.048 6.638 7.482
angles: 99.84 90.00 112.35
Atoms (fractional coordinates):
Ac: 0.611 0.221 0.302
Ac: 0.389 0.779 0.698
In: 0.104 0.208 0.623
In: 0.896 0.792 0.377
Pb: 0.301 0.601 0.155
Pb: 0.000 0.000 0.000
Pb: 0.699 0.399 0.845

- M_tot (Bohr magnetons per cell) = 0.0
- DFT formation energy (eV/atom) = -0.38


MnHg2P | PBE | optimized geometry

abc: 6.348 6.348 6.348
angles: 37.47 37.47 37.47
Last column: magnetic moment on the atom in μB.
Atoms (fractional coordinates):
Hg: 0.997 0.997 0.997  0.00
Hg: 0.503 0.503 0.503  0.00
Mn: 0.750 0.750 0.750  4.07
P: 0.250 0.250 0.250  -0.02

- M_tot (Bohr magnetons per cell) = 4.3
- DFT formation energy (eV/atom) = 0.47


LiTc2Br8 | PBE | optimized geometry

abc: 6.722 8.094 8.094
angles: 80.01 87.60 87.60
Last column: magnetic moment on the atom in μB.
Atoms (fractional coordinates):
Li: 0.000 0.000 0.000  0.00
Tc: 0.665 0.793 0.793  0.38
Tc: 0.335 0.207 0.207  0.38
Br: 0.199 0.285 0.934  0.02
Br: 0.801 0.066 0.715  0.02
Br: 0.312 0.806 0.806  0.03
Br: 0.688 0.194 0.194  0.03
Br: 0.199 0.934 0.285  0.02
Br: 0.801 0.715 0.066  0.02
Br: 0.789 0.611 0.611  0.02
Br: 0.211 0.389 0.389  0.02

- distance to the lowest polymorph of the same formula (meV per atom) = 218.4
- M_tot (Bohr magnetons per cell) = 1.1
- energy relative to the elements, uncorrected (eV/atom) = -0.33


ZrZnCdRe2 | PBE | optimized geometry

abc: 4.877 5.028 4.877
angles: 90.00 90.00 90.00
Last column: magnetic moment on the atom in μB.
Atoms (fractional coordinates):
Re: 0.000 0.000 0.500  1.20
Re: 0.500 0.000 0.000  0.96
Zn: 0.500 0.500 0.500  -0.04
Zr: 0.000 0.500 0.000  -0.37
Cd: 0.000 0.000 0.000  0.00

- M_tot (Bohr magnetons per cell) = 1.8
- DFT formation energy (eV/atom) = 2.36


Cs3In3P4O16 | PBE | optimized geometry

abc: 9.793 9.793 10.111
angles: 88.74 88.74 63.10
Atoms (fractional coordinates):
Cs: 0.558 0.670 0.817
Cs: 0.330 0.442 0.683
Cs: 0.442 0.330 0.183
Cs: 0.670 0.558 0.317
Cs: 0.500 0.000 0.500
Cs: 0.000 0.500 0.000
In: 0.084 0.916 0.750
In: 0.916 0.084 0.250
In: 0.328 0.965 0.169
In: 0.035 0.672 0.331
In: 0.672 0.035 0.831
In: 0.965 0.328 0.669
P: 0.225 0.796 0.438
P: 0.204 0.775 0.062
P: 0.775 0.204 0.562
P: 0.796 0.225 0.938
P: 0.284 0.115 0.854
P: 0.885 0.716 0.646
P: 0.716 0.885 0.146
P: 0.115 0.284 0.354
O: 0.337 0.833 0.353
O: 0.167 0.663 0.147
O: 0.663 0.167 0.647
O: 0.833 0.337 0.853
O: 0.054 0.887 0.385
O: 0.113 0.946 0.115
O: 0.946 0.113 0.615
O: 0.887 0.054 0.885
O: 0.244 0.829 0.584
O: 0.171 0.756 0.916
O: 0.756 0.171 0.416
O: 0.829 0.244 0.084
O: 0.255 0.625 0.426
O: 0.375 0.745 0.074
O: 0.745 0.375 0.574
O: 0.625 0.255 0.926
O: 0.158 0.268 0.798
O: 0.732 0.842 0.702
O: 0.842 0.732 0.202
O: 0.268 0.158 0.298
O: 0.290 0.125 0.007
O: 0.875 0.710 0.493
O: 0.710 0.875 0.993
O: 0.125 0.290 0.507
O: 0.439 0.095 0.792
O: 0.905 0.561 0.708
O: 0.561 0.905 0.208
O: 0.095 0.439 0.292
O: 0.255 0.980 0.812
O: 0.020 0.745 0.688
O: 0.745 0.020 0.188
O: 0.980 0.255 0.312

- M_tot (Bohr magnetons per cell) = 0.0
- energy relative to the elements, uncorrected (eV/atom) = -2.12


YTi2Cu | PBE | optimized geometry

abc: 4.700 4.700 4.700
angles: 60.00 60.00 60.00
Atoms (fractional coordinates):
Y: 0.500 0.500 0.500
Cu: 0.000 0.000 0.000
Ti: 0.250 0.250 0.250
Ti: 0.750 0.750 0.750

- distance to the lowest polymorph of the same formula (meV per atom) = 15.3
- M_tot (Bohr magnetons per cell) = 0.0
- DFT formation energy (eV/atom) = 0.39